## ZnCdTeO (PBE)

Data for crystalline ZnCdTeO at its relaxed geometry.

The structure belongs to space group Cm (No. 8); the cell edges are 5.753, 3.161 and 9.478 Å and the angles 90.00°, 100.99° and 90.00°. The asymmetric unit holds Zn at (0.000, 0.000, 0.000), Cd at (0.223, 0.000, 0.678), Te at (0.096, 0.000, 0.297) and O at (0.305, 0.000, 0.934).

Its electronic total energy is -3.174 eV/atom. For the density of states at the Fermi level, the calculation gives 1.5 states/eV per cell. The calculation puts the formation energy without anion corrections at -0.6016 eV per atom. As for the calculated density: 6.3 Mg/m³. The value obtained for the magnetization is 0.00 μB/f.u. The polymorph energy (0 for the lowest one) is 45 meV per atom.